! Ti2Mn2GaFe5 PBE relaxed; values from VASP
! V = 253.2 Å³ per cell
! M_tot = 9.00 μB per formula unit
! N(E_F) = 26.3 states/eV per cell
! energy = -79.4 eV/f.u.
&SYSTEM
  ibrav = 0, nat = 20, ntyp = 4
/
ATOMIC_SPECIES
Ti 47.87 Ti.upf
Mn 54.94 Mn.upf
Ga 69.72 Ga.upf
Fe 55.84 Fe.upf
ATOMIC_POSITIONS angstrom
Ti 1.4644 2.6197 0.0000
Ti 2.6197 6.7037 0.0000
Ti 5.5484 1.4644 0.0000
Ti 6.7037 5.5484 0.0000
Mn 0.9676 5.0516 0.0000
Mn 3.1165 0.9676 0.0000
Mn 5.0516 7.2005 0.0000
Mn 7.2005 3.1165 0.0000
Ga 0.0000 0.0000 0.0000
Ga 4.0840 4.0840 0.0000
Fe 0.0000 4.0840 1.8976
Fe 0.5252 6.4989 1.8976
Fe 1.6692 0.5252 1.8976
Fe 2.4148 4.6092 1.8976
Fe 3.5589 2.4148 1.8976
Fe 4.0840 0.0000 1.8976
Fe 4.6092 5.7533 1.8976
Fe 5.7533 3.5589 1.8976
Fe 6.4989 7.6429 1.8976
Fe 7.6429 1.6692 1.8976
CELL_PARAMETERS angstrom
8.1681 0.0000 0.0000
0.0000 8.1681 0.0000
0.0000 0.0000 3.7952

=====

! ZrMnGaFe PBE relaxed; values from VASP
! V = 57.0 Å³ per cell
! M_tot = 2.15 μB per formula unit
! N(E_F) = 5.1 states/eV per cell
! energy = -29.9 eV/f.u.
&SYSTEM
  ibrav = 0, nat = 4, ntyp = 4
/
ATOMIC_SPECIES
Zr 91.22 Zr.upf
Mn 54.94 Mn.upf
Ga 69.72 Ga.upf
Fe 55.84 Fe.upf
ATOMIC_POSITIONS angstrom
Zr 0.0000 0.0000 0.0000
Mn 4.5826 4.5826 4.5826
Ga 3.0551 3.0551 3.0551
Fe 1.5275 1.5275 1.5275
CELL_PARAMETERS angstrom
0.0000 3.0551 3.0551
3.0551 0.0000 3.0551
3.0551 3.0551 0.0000

=====

! Zr2Mn2GaFe5 PBE relaxed; values from VASP
! V = 278.5 Å³ per cell
! M_tot = 9.88 μB per formula unit
! N(E_F) = 25.1 states/eV per cell
! energy = -80.6 eV/f.u.
&SYSTEM
  ibrav = 0, nat = 20, ntyp = 4
/
ATOMIC_SPECIES
Zr 91.22 Zr.upf
Mn 54.94 Mn.upf
Ga 69.72 Ga.upf
Fe 55.84 Fe.upf
ATOMIC_POSITIONS angstrom
Zr 1.6061 2.7619 0.0000
Zr 2.7619 7.1299 0.0000
Zr 5.9741 1.6061 0.0000
Zr 7.1299 5.9741 0.0000
Mn 0.9771 5.3451 0.0000
Mn 3.3909 0.9771 0.0000
Mn 5.3451 7.7589 0.0000
Mn 7.7589 3.3909 0.0000
Ga 0.0000 0.0000 0.0000
Ga 4.3680 4.3680 0.0000
Fe 0.0000 4.3680 1.8243
Fe 0.5098 6.9208 1.8243
Fe 1.8151 0.5098 1.8243
Fe 2.5529 4.8778 1.8243
Fe 3.8582 2.5529 1.8243
Fe 4.3680 0.0000 1.8243
Fe 4.8778 6.1831 1.8243
Fe 6.1831 3.8582 1.8243
Fe 6.9208 8.2262 1.8243
Fe 8.2262 1.8151 1.8243
CELL_PARAMETERS angstrom
8.7360 0.0000 0.0000
0.0000 8.7360 0.0000
0.0000 0.0000 3.6486

=====

! GaFe2Mo2 PBE relaxed; values from VASP
! V = 138.1 Å³ per cell
! M_tot = 0.00 μB per formula unit
! N(E_F) = 7.0 states/eV per cell
! energy = -41.0 eV/f.u.
&SYSTEM
  ibrav = 0, nat = 10, ntyp = 3
/
ATOMIC_SPECIES
Ga 69.72 Ga.upf
Fe 55.84 Fe.upf
Mo 95.94 Mo.upf
ATOMIC_POSITIONS angstrom
Ga 0.0000 0.0000 0.0000
Ga 3.5030 3.5030 0.0000
Fe 0.8851 2.6178 0.0000
Fe 2.6178 6.1208 0.0000
Fe 4.3881 0.8851 0.0000
Fe 6.1208 4.3881 0.0000
Mo 1.1729 4.6758 1.4063
Mo 2.3301 1.1729 1.4063
Mo 4.6758 5.8331 1.4063
Mo 5.8331 2.3301 1.4063
CELL_PARAMETERS angstrom
7.0060 0.0000 0.0000
0.0000 7.0060 0.0000
0.0000 0.0000 2.8127

=====

! Ga2FeMo PBE relaxed; values from VASP
! distance to the lowest polymorph of the same formula = 300 meV per atom
! V = 122.7 Å³ per cell
! M_tot = 0.00 μB per formula unit
! N(E_F) = 8.3 states/eV per cell
! energy = -23.7 eV/f.u.
&SYSTEM
  ibrav = 0, nat = 8, ntyp = 3
/
ATOMIC_SPECIES
Ga 69.72 Ga.upf
Fe 55.84 Fe.upf
Mo 95.94 Mo.upf
ATOMIC_POSITIONS angstrom
Ga 5.1340 1.5237 -0.6547
Ga 1.5237 1.7113 0.6547
Ga -1.7113 1.8989 1.9642
Ga 1.8989 1.7113 3.2737
Fe 0.0000 0.0000 0.0000
Fe 0.0000 3.4227 1.3095
Mo 3.4227 0.0000 1.3095
Mo 0.0000 0.0000 2.6190
CELL_PARAMETERS angstrom
-3.4227 3.4227 2.6190
3.4227 -3.4227 2.6190
3.4227 3.4227 -2.6190

=====

! GaFeMo PBE relaxed; values from VASP
! V = 40.1 Å³ per cell
! M_tot = 0.00 μB per formula unit
! N(E_F) = 2.9 states/eV per cell
! energy = -22.5 eV/f.u.
&SYSTEM
  ibrav = 0, nat = 3, ntyp = 3
/
ATOMIC_SPECIES
Ga 69.72 Ga.upf
Fe 55.84 Fe.upf
Mo 95.94 Mo.upf
ATOMIC_POSITIONS angstrom
Ga 0.0000 0.0000 0.0000
Fe 0.0000 0.0000 3.4327
Mo 0.0000 0.0000 6.7427
CELL_PARAMETERS angstrom
-1.4320 1.4320 4.8844
1.4320 -1.4320 4.8844
1.4320 1.4320 -4.8844

=====

> Number 1 is which compound?

Ti2Mn2GaFe5

=====

> The highest V belongs to which entry?

Zr2Mn2GaFe5

=====

> Which value of M_tot does entry 2 give?

2.15 μB per formula unit